A plane-wave DFT calculation with GGA-PBE was carried out for an optimized crystal structure of La2AlH.

DOS at the Fermi energy	3.003	states/eV per cell
uncorrected energy	-4.511	eV per atom

Cell: 3.5106 3.6905 7.5827 Å, 90.00 90.00 90.00°
Last column: nearest neighbours and their distance in Å.
Fractional coordinates of all 4 atoms:
La: 0.0000 0.0000 0.2352  2 H 2.50
La: 0.0000 0.0000 0.7648  2 H 2.50
Al: 0.5000 0.5000 0.5000  8 La 3.24, 2 Al 3.51
H: 0.5000 0.0000 0.0000  4 La 2.50

A plane-wave DFT calculation with GGA-PBE was carried out for an optimized crystal structure of La2AlH.

DOS at the Fermi energy	11.818	states/eV per cell
uncorrected energy	-4.310	eV per atom

Cell: 7.3489 7.3489 7.3489 Å, 90.00 90.00 90.00°
Last column: nearest neighbours and their distance in Å.
Fractional coordinates of all 16 atoms:
La: 0.2500 0.2500 0.2500  4 H 3.18, 4 Al 3.18
La: 0.2500 0.2500 0.7500  4 H 3.18, 4 Al 3.18
La: 0.2500 0.7500 0.2500  4 H 3.18, 4 Al 3.18
La: 0.2500 0.7500 0.7500  4 H 3.18, 4 Al 3.18
La: 0.7500 0.2500 0.2500  4 H 3.18, 4 Al 3.18
La: 0.7500 0.2500 0.7500  4 H 3.18, 4 Al 3.18
La: 0.7500 0.7500 0.2500  4 H 3.18, 4 Al 3.18
La: 0.7500 0.7500 0.7500  4 Al 3.18, 4 H 3.18
Al: 0.0000 0.0000 0.0000  8 La 3.18
Al: 0.0000 0.5000 0.5000  8 La 3.18
Al: 0.5000 0.0000 0.5000  8 La 3.18
Al: 0.5000 0.5000 0.0000  8 La 3.18
H: 0.0000 0.0000 0.5000  8 La 3.18
H: 0.0000 0.5000 0.0000  8 La 3.18
H: 0.5000 0.0000 0.0000  8 La 3.18
H: 0.5000 0.5000 0.5000  8 La 3.18

A plane-wave DFT calculation with GGA-PBE was carried out for an optimized crystal structure of La2AlH.

DOS at the Fermi energy	6.916	states/eV per cell
uncorrected energy	-4.148	eV per atom

Cell: 5.5761 5.5761 14.4665 Å, 90.00 90.00 90.00°
Last column: nearest neighbours and their distance in Å.
Fractional coordinates of all 16 atoms:
La: 0.1634 0.2500 0.1250  2 H 2.46
La: 0.2500 0.6634 0.3750  2 H 2.46
La: 0.2500 0.8366 0.8750  2 H 2.46
La: 0.3366 0.2500 0.6250  2 H 2.46
La: 0.6634 0.7500 0.6250  2 H 2.46
La: 0.7500 0.1634 0.8750  2 H 2.46
La: 0.7500 0.3366 0.3750  2 H 2.46
La: 0.8366 0.7500 0.1250  2 H 2.46
Al: 0.0000 0.0000 0.5000  4 La 2.96
Al: 0.0000 0.5000 0.7500  4 La 2.96
Al: 0.5000 0.0000 0.2500  4 La 2.96
Al: 0.5000 0.5000 0.0000  4 La 2.96
H: 0.0000 0.0000 0.0000  4 La 2.46
H: 0.0000 0.5000 0.2500  4 La 2.46
H: 0.5000 0.0000 0.7500  4 La 2.46
H: 0.5000 0.5000 0.5000  4 La 2.46

A plane-wave DFT calculation with GGA-PBE was carried out for an optimized crystal structure of LaAl2H2.

DOS at the Fermi energy	3.013	states/eV per cell
uncorrected energy	-3.948	eV per atom

Cell: 6.2346 6.2346 4.2993 Å, 90.00 90.00 90.00°
Last column: nearest neighbours and their distance in Å.
Fractional coordinates of all 10 atoms:
La: 0.0000 0.0000 0.0000  4 H 2.32
La: 0.5000 0.5000 0.0000  4 H 2.32
Al: 0.1763 0.3237 0.5000  2 H 2.15
Al: 0.3237 0.8237 0.5000  2 H 2.15
Al: 0.6763 0.1763 0.5000  2 H 2.15
Al: 0.8237 0.6763 0.5000  2 H 2.15
H: 0.1675 0.3325 0.0000  2 Al 2.15, 2 La 2.32
H: 0.3325 0.8325 0.0000  2 Al 2.15, 2 La 2.32
H: 0.6675 0.1675 0.0000  2 Al 2.15, 2 La 2.32
H: 0.8325 0.6675 0.0000  2 Al 2.15, 2 La 2.32

A plane-wave DFT calculation with GGA-PBE was carried out for an optimized crystal structure of La2AlH.

DOS at the Fermi energy	2.146	states/eV per cell
uncorrected energy	-4.438	eV per atom

Cell: 3.4167 3.4167 7.6427 Å, 90.00 90.00 90.00°
Last column: nearest neighbours and their distance in Å.
Fractional coordinates of all 4 atoms:
La: 0.0000 0.0000 0.2253  4 H 2.97, 4 Al 3.20
La: 0.0000 0.0000 0.7747  4 H 2.97, 4 Al 3.20
Al: 0.5000 0.5000 0.5000  8 La 3.20, 4 Al 3.42
H: 0.5000 0.5000 0.0000  8 La 2.97

A plane-wave DFT calculation with GGA-PBE was carried out for an optimized crystal structure of La2AlH2.

DOS at the Fermi energy	3.255	states/eV per cell
uncorrected energy	-4.579	eV per atom

Cell: 3.9823 3.9823 12.6631 Å, 90.00 90.00 90.00°
Last column: nearest neighbours and their distance in Å.
Fractional coordinates of all 10 atoms:
La: 0.0000 0.0000 0.1446  4 H 2.40
La: 0.0000 0.0000 0.8554  4 H 2.40
La: 0.5000 0.5000 0.3554  4 H 2.40
La: 0.5000 0.5000 0.6446  4 H 2.40
Al: 0.0000 0.0000 0.5000  8 La 3.36, 8 H 3.74
Al: 0.5000 0.5000 0.0000  8 La 3.36, 8 H 3.74
H: 0.0000 0.5000 0.2500  4 La 2.40
H: 0.0000 0.5000 0.7500  4 La 2.40
H: 0.5000 0.0000 0.2500  4 La 2.40
H: 0.5000 0.0000 0.7500  4 La 2.40

A plane-wave DFT calculation with GGA-PBE was carried out for an optimized crystal structure of La2AlH2.

DOS at the Fermi energy	7.468	states/eV per cell
uncorrected energy	-4.288	eV per atom

Cell: 7.5834 7.5834 3.1854 Å, 90.00 90.00 90.00°
Last column: nearest neighbours and their distance in Å.
Fractional coordinates of all 10 atoms:
La: 0.1733 0.3267 0.0000  6 H 2.75
La: 0.3267 0.8267 0.0000  6 H 2.75
La: 0.6733 0.1733 0.0000  6 H 2.75
La: 0.8267 0.6733 0.0000  6 H 2.75
Al: 0.0000 0.0000 0.5000  4 H 3.03, 2 Al 3.19, 8 La 3.23
Al: 0.5000 0.5000 0.5000  4 H 3.03, 2 Al 3.19, 8 La 3.23
H: 0.1175 0.6175 0.5000  1 H 2.52, 6 La 2.75
H: 0.3825 0.1175 0.5000  1 H 2.52, 6 La 2.75
H: 0.6175 0.8825 0.5000  1 H 2.52, 6 La 2.75
H: 0.8825 0.3825 0.5000  1 H 2.52, 6 La 2.75

A plane-wave DFT calculation with GGA-PBE was carried out for an optimized crystal structure of LaAl2H6.

DOS at the Fermi energy	4.836	states/eV per cell
uncorrected energy	-2.936	eV per atom

Cell: 5.2894 5.2894 5.2894 Å, 60.00 60.00 60.00°
Last column: nearest neighbours and their distance in Å.
Fractional coordinates of all 9 atoms:
La: 0.0000 0.0000 0.0000  6 H 2.22
Al: 0.2500 0.2500 0.2500  12 H 2.67
Al: 0.7500 0.7500 0.7500  12 H 2.67
H: 0.2968 0.2968 0.7032  4 H 2.15, 1 La 2.22
H: 0.2968 0.7032 0.2968  4 H 2.15, 1 La 2.22
H: 0.2968 0.7032 0.7032  4 H 2.15, 1 La 2.22
H: 0.7032 0.2968 0.2968  4 H 2.15, 1 La 2.22
H: 0.7032 0.2968 0.7032  4 H 2.15, 1 La 2.22
H: 0.7032 0.7032 0.2968  4 H 2.15, 1 La 2.22

A plane-wave DFT calculation with GGA-PBE was carried out for an optimized crystal structure of LaAlH.

DOS at the Fermi energy	3.534	states/eV per cell
uncorrected energy	-4.337	eV per atom

Cell: 6.9138 3.4413 4.5985 Å, 90.00 90.00 90.00°
Last column: nearest neighbours and their distance in Å.
Fractional coordinates of all 6 atoms:
La: 0.0000 0.0000 0.0000  4 H 2.50
La: 0.5000 0.0000 0.0000  4 H 2.50
Al: 0.2500 0.5000 0.4799  1 H 1.82
Al: 0.7500 0.5000 0.5201  1 H 1.82
H: 0.2500 0.5000 0.8763  1 Al 1.82
H: 0.7500 0.5000 0.1237  1 Al 1.82

A plane-wave DFT calculation with GGA-PBE was carried out for an optimized crystal structure of La5Al2H.

DOS at the Fermi energy	17.885	states/eV per cell
uncorrected energy	-4.551	eV per atom

Cell: 7.1508 7.1508 9.1056 Å, 90.00 90.00 90.00°
Last column: nearest neighbours and their distance in Å.
Fractional coordinates of all 16 atoms:
La: 0.0000 0.0000 0.0000  1 H 2.39
La: 0.2494 0.2494 0.2533  1 H 2.54
La: 0.2494 0.7506 0.2533  1 H 2.54
La: 0.2506 0.2506 0.7533  1 H 2.54
La: 0.2506 0.7494 0.7533  1 H 2.54
La: 0.5000 0.5000 0.5000  1 H 2.39
La: 0.7494 0.2506 0.7533  1 H 2.54
La: 0.7494 0.7494 0.7533  1 H 2.54
La: 0.7506 0.2494 0.2533  1 H 2.54
La: 0.7506 0.7506 0.2533  1 H 2.54
Al: 0.0000 0.5000 0.0026  10 La 3.40-3.58
Al: 0.0000 0.5000 0.5026  10 La 3.40-3.58
Al: 0.5000 0.0000 0.0026  10 La 3.40-3.58
Al: 0.5000 0.0000 0.5026  10 La 3.40-3.58
H: 0.0000 0.0000 0.7375  5 La 2.39-2.54
H: 0.5000 0.5000 0.2375  5 La 2.39-2.54

A plane-wave DFT calculation with GGA-PBE was carried out for an optimized crystal structure of LaAl3H12.

DOS at the Fermi energy	0.000	states/eV per cell
uncorrected energy	-3.690	eV per atom

Cell: 6.2396 6.2396 6.2396 Å, 65.28 65.28 65.28°
Last column: nearest neighbours and their distance in Å.
Fractional coordinates of all 16 atoms:
La: 0.0000 0.0000 0.0000  12 H 2.39-2.45
Al: 0.0000 0.0000 0.5000  6 H 1.65-1.79
Al: 0.0000 0.5000 0.0000  6 H 1.65-1.79
Al: 0.5000 0.0000 0.0000  6 H 1.65-1.79
H: 0.1022 0.7429 0.7429  2 Al 1.79
H: 0.1371 0.1371 0.5591  1 Al 1.66
H: 0.1371 0.5591 0.1371  1 Al 1.66
H: 0.2571 0.2571 0.8978  2 Al 1.79
H: 0.2571 0.8978 0.2571  2 Al 1.79
H: 0.4409 0.8629 0.8629  1 Al 1.66
H: 0.5591 0.1371 0.1371  1 Al 1.65
H: 0.7429 0.1022 0.7429  2 Al 1.79
H: 0.7429 0.7429 0.1022  2 Al 1.79
H: 0.8629 0.4409 0.8629  1 Al 1.65
H: 0.8629 0.8629 0.4409  1 Al 1.65
H: 0.8978 0.2571 0.2571  2 Al 1.79

A plane-wave DFT calculation with GGA-PBE was carried out for an optimized crystal structure of LaAlH3.

DOS at the Fermi energy	3.343	states/eV per cell
uncorrected energy	-3.836	eV per atom

Cell: 3.8646 3.8646 3.8646 Å, 90.00 90.00 90.00°
Last column: nearest neighbours and their distance in Å.
Fractional coordinates of all 5 atoms:
La: 0.0000 0.0000 0.0000  12 H 2.73
Al: 0.5000 0.5000 0.5000  6 H 1.93
H: 0.0000 0.5000 0.5000  2 Al 1.93
H: 0.5000 0.0000 0.5000  2 Al 1.93
H: 0.5000 0.5000 0.0000  2 Al 1.93